No. 1
The following is a DFT calculation (PBE-GGA) of a geometry-optimized CoGeRuPt structure.

SG: F-43m, No. 216
ΔE_f: 0.030 eV per atom
N(E_F): 2.8 states/eV/f.u.
Uncorrected energy: -6.7300 eV/atom
Size of the total moment: 0.511 μB/atom

Cell lengths 4.2990, 4.2990, 4.2990 Å; angles 60.00, 60.00, 60.00 degrees
Element x y z (fractional)
Co 0.0000 0.0000 0.0000
Ge 0.7500 0.7500 0.7500
Ru 0.5000 0.5000 0.5000
Pt 0.2500 0.2500 0.2500

***

No. 2
The following is a DFT calculation (PBE-GGA) of a geometry-optimized CsLa2Cl8 structure.

SG: C2/m, No. 12
Formation energy without anion corrections: -2.12 eV/atom
N(E_F): 7.4 states/eV/f.u.
Uncorrected energy: -4.4345 eV/atom
Size of the total moment: 0.000 μB/atom

Cell lengths 8.4173, 8.4173, 5.4447 Å; angles 90.04, 90.04, 63.11 degrees
Element x y z (fractional)
Cs 0.0000 0.0000 0.0000
La 0.3027 0.3027 0.4994
La 0.6973 0.6973 0.5006
Cl 0.0549 0.6701 0.5013
Cl 0.2613 0.2613 0.9993
Cl 0.3299 0.9451 0.4987
Cl 0.4999 0.4999 0.2479
Cl 0.5001 0.5001 0.7521
Cl 0.6701 0.0549 0.5013
Cl 0.7387 0.7387 0.0007
Cl 0.9451 0.3299 0.4987

***

No. 3
The following is a DFT calculation (PBE-GGA) of a geometry-optimized Nd2Ga3Co structure.

SG: Cm, No. 8
ΔE_f: -0.496 eV per atom
N(E_F): 5.5 states/eV/f.u.
Uncorrected energy: -4.7833 eV/atom
Size of the total moment: 0.000 μB/atom

Cell lengths 5.7282, 5.7282, 7.3042 Å; angles 128.40, 128.40, 44.52 degrees
Element x y z (fractional)
Nd 0.0000 0.0000 0.0000
Nd 0.1035 0.1035 0.6031
Ga 0.3691 0.3691 0.1822
Ga 0.4066 0.4066 0.6130
Ga 0.7241 0.7241 0.3889
Co 0.7119 0.7119 0.0065

***

No. 4
The following is a DFT calculation (PBE-GGA) of a geometry-optimized ZrScVNi3 structure.

SG: R3m, No. 160
ΔE_f: -0.336 eV per atom
N(E_F): 8.9 states/eV/f.u.
Uncorrected energy: -7.2261 eV/atom
Size of the total moment: 0.002 μB/atom

Cell lengths 4.9208, 4.9208, 4.9208 Å; angles 61.97, 61.97, 61.97 degrees
Element x y z (fractional)
Zr 0.0000 0.0000 0.0000
Sc 0.2585 0.2585 0.2585
V 0.6312 0.6312 0.6312
Ni 0.1309 0.6302 0.6302
Ni 0.6302 0.1309 0.6302
Ni 0.6302 0.6302 0.1309